Entry 1:
CaPrMgAl | the Alexandria database | PBE | optimized geometry; space group = F-43m, No. 216; formation energy from the elements = -215 meV per atom; VASP energy = -13.0 eV for the cell shown
1.0
0.0000 3.8178 3.8178
3.8178 0.0000 3.8178
3.8178 3.8178 0.0000
Ca Pr Mg Al
1 1 1 1
Direct
0.0000 0.0000 0.0000
0.5000 0.5000 0.5000
0.7500 0.7500 0.7500
0.2500 0.2500 0.2500

=====

Entry 2:
CaMg2AlPt | the Alexandria database | PBE | optimized geometry; space group = P4/mmm, No. 123; formation energy from the elements = -415 meV per atom; VASP energy = -17.0 eV for the cell shown
1.0
5.0546 0.0000 0.0000
0.0000 5.0546 0.0000
0.0000 0.0000 4.8228
Ca Mg Al Pt
1 2 1 1
Direct
0.0000 0.0000 0.0000
0.0000 0.5000 0.5000
0.5000 0.0000 0.5000
0.5000 0.5000 0.0000
0.5000 0.5000 0.5000

=====

Entry 3:
CaMgAl2Pt2 | the Alexandria database | PBE | optimized geometry; space group = P-3m1, No. 164; formation energy from the elements = -899 meV per atom; VASP energy = -28.6 eV for the cell shown
1.0
4.4067 0.0000 0.0000
-2.2033 3.8163 0.0000
0.0000 0.0000 6.8440
Ca Mg Al Pt
1 1 2 2
Direct
0.0000 0.0000 0.0000
0.0000 0.0000 0.5000
0.3333 0.6667 0.6893
0.6667 0.3333 0.3107
0.3333 0.6667 0.2987
0.6667 0.3333 0.7013

=====

Entry 4:
CaPuMgAl | the Alexandria database | PBE | optimized geometry; space group = F-43m, No. 216; formation energy from the elements = 12 meV per atom; VASP energy = -21.6 eV for the cell shown
1.0
0.0000 3.7428 3.7428
3.7428 0.0000 3.7428
3.7428 3.7428 0.0000
Ca Pu Mg Al
1 1 1 1
Direct
0.0000 0.0000 0.0000
0.5000 0.5000 0.5000
0.7500 0.7500 0.7500
0.2500 0.2500 0.2500